1.
YPtN2 after structural relaxation. Source: Alexandria, functional PBE.

```
YPtN2
1.0
-2.308 2.308 5.732
2.308 -2.308 5.732
2.308 2.308 -5.732
Y Pt N
2 2 4
Cartesian
0.000 0.000 0.000
0.000 2.308 2.866
2.308 0.000 2.866
0.000 0.000 5.732
1.154 -0.944 4.299
1.363 1.154 1.433
1.154 3.252 -1.433
0.944 1.154 7.165
```

Results
energy relative to the elements, uncorrected: -0.167 eV/atom

***

2.
HoThPa2Rh4 after structural relaxation. Source: Alexandria, functional PBE.

```
HoThPa2Rh4
1.0
0.000 5.561 4.207
3.811 0.000 4.207
3.811 5.561 0.000
Ho Th Pa Rh
1 1 2 4
Cartesian
0.000 0.000 0.000
3.811 5.561 4.824
1.906 2.781 2.802
5.717 8.342 7.009
5.337 5.561 2.444
3.811 2.677 4.956
2.286 5.561 2.444
3.811 8.445 4.956
```

Results
formation energy from the elements: -0.768 eV per atom

***

3.
CsNd after structural relaxation. Source: Alexandria, functional PBE.

```
CsNd
1.0
1.951 1.126 7.593
-1.951 1.126 7.593
0.000 -2.253 7.593
Cs Nd
1 1
Cartesian
0.000 0.000 0.000
0.000 0.000 11.390
```

Results
formation energy from the elements: 0.624 eV per atom

***

4.
KZnGe3 after structural relaxation. Source: Alexandria, functional PBE.

```
KZnGe3
1.0
5.053 0.000 0.000
0.000 5.053 0.000
0.000 0.000 5.053
K Zn Ge
1 1 3
Cartesian
0.000 0.000 0.000
2.527 2.527 2.527
0.000 2.527 2.527
2.527 0.000 2.527
2.527 2.527 0.000
```

Results
formation energy from the elements: 0.383 eV per atom

***

5.
Zn5Ni after structural relaxation. Source: Alexandria, functional PBE.

```
Zn5Ni
1.0
4.658 0.000 0.000
0.000 7.939 0.000
-1.573 0.000 4.441
Zn Ni
10 2
Cartesian
4.264 0.657 1.109
4.264 3.312 1.109
-1.179 4.627 3.332
-1.179 7.282 3.332
1.934 1.985 1.107
1.148 0.707 3.329
1.148 3.262 3.329
1.937 4.677 1.112
1.937 7.232 1.112
1.151 5.954 3.334
-0.391 5.954 1.114
3.476 1.985 3.327
```

Results
formation energy from the elements: -0.081 eV per atom

***

6.
Sm8SiBi2 after structural relaxation. Source: Alexandria, functional PBE.

```
Sm8SiBi2
1.0
9.898 -2.589 0.000
9.898 2.589 0.000
-1.577 0.000 6.632
Sm Si Bi
8 1 2
Cartesian
-0.130 0.000 1.846
3.052 0.000 5.533
6.182 0.000 3.137
8.111 0.000 0.174
10.108 0.000 6.458
12.037 0.000 3.495
15.167 0.000 1.098
18.350 0.000 4.786
9.110 0.000 3.316
3.108 0.000 1.806
15.111 0.000 4.826
```

Results
energy relative to the elements, uncorrected: -0.371 eV/atom

***

7.
NaTa2TlO6 after structural relaxation. Source: Alexandria, functional PBE.

```
NaTa2TlO6
1.0
5.153 -6.061 0.000
5.153 6.061 0.000
-2.567 0.000 6.203
Na Ta Tl O
2 4 2 12
Cartesian
3.227 3.643 4.652
4.511 -3.643 1.551
2.795 0.860 1.988
1.511 -0.860 5.089
6.227 0.860 1.114
4.944 -0.860 4.215
4.511 4.750 1.551
3.227 -4.750 4.652
1.119 0.884 1.282
3.051 2.529 2.617
-0.165 -0.884 4.383
3.900 0.400 0.387
5.971 2.529 0.485
2.616 -0.400 3.488
5.122 0.400 2.715
1.768 -2.529 5.718
3.839 -0.400 5.816
7.903 0.884 1.820
4.687 -2.529 3.586
6.620 -0.884 4.921
```

Results
energy relative to the elements, uncorrected: -2.321 eV/atom

***

8.
SbAs2Br after structural relaxation. Source: Alexandria, functional PBE.

```
SbAs2Br
1.0
1.865 -2.810 0.000
1.865 2.810 0.000
0.000 0.000 8.952
Sb As Br
1 2 1
Cartesian
0.000 0.000 0.000
1.865 0.000 2.207
1.865 0.000 6.745
0.000 0.000 4.476
```

Results
energy relative to the elements, uncorrected: 0.411 eV/atom

***

Number 1: calculated volume 15.263 A^3/atom. Number 2: calculated volume 22.295 A^3/atom. Number 3: calculated volume 50.054 A^3/atom. Number 4: calculated volume 25.807 A^3/atom. Number 5: calculated volume 13.686 A^3/atom. Number 6: calculated volume 30.900 A^3/atom. Number 7: calculated volume 19.373 A^3/atom. Number 8: calculated volume 23.466 A^3/atom.